VASP calculation (PBE) on an optimized crystal structure of TlRhI2O8.

```
12
Lattice="-1.333 2.120 -5.455 -4.370 -2.019 3.586 -0.700 5.873 2.453" Properties=species:S:1:pos:R:3 pbc="T T T"
I -3.853 3.516 2.308
I -2.550 2.458 -1.724
O -4.048 5.151 2.991
O -2.355 0.823 -2.407
O -1.435 1.897 -0.146
O -1.664 3.214 -3.364
O -1.861 3.800 2.282
O -4.740 2.761 3.949
O -4.542 2.174 -1.698
O -4.969 4.078 0.731
Rh -0.350 2.937 1.227
Tl 0.000 0.000 0.000
```

Computed properties:
- Energy relative to the elements, uncorrected: -338 meV/atom
- Theoretical density: 5.73 g/cm3
- Total magnetization: 0.00 μB per formula unit
- E_tot: -4.712 eV/atom
- Calculated volume: 199.82 Å³/cell